# 1
First-principles (PBE) data for an optimized crystal structure of Ce6HOsPb2, as listed in Alexandria.

## Properties
**Crystal system**: cubic
**Raw total energy**: -6.024 eV per atom

Cell: 7.238 7.238 7.238 Å, 60.00 60.00 60.00°
Atoms (fractional coordinates):
Ce 0.237 0.237 0.763
Ce 0.237 0.763 0.237
Ce 0.237 0.763 0.763
Ce 0.763 0.237 0.237
Ce 0.763 0.237 0.763
Ce 0.763 0.763 0.237
H 0.000 0.000 0.000
Os 0.500 0.500 0.500
Pb 0.250 0.250 0.250
Pb 0.750 0.750 0.750

# 2
First-principles (PBE) data for an optimized crystal structure of BiPPbO2, as listed in Alexandria.

## Properties
**Crystal system**: tetragonal
**Polymorph energy (0 for the lowest one)**: 216 meV per atom

Cell: 4.267 4.267 5.322 Å, 90.00 90.00 90.00°
Atoms (fractional coordinates):
Bi 0.000 0.000 0.000
P 0.500 0.500 0.000
Pb 0.500 0.500 0.500
O 0.000 0.500 0.500
O 0.500 0.000 0.500

# 3
First-principles (PBE) data for an optimized crystal structure of Ce2ZnBi, as listed in Alexandria.

## Properties
**Crystal system**: tetragonal
**Formation energy**: -1.67 eV per formula unit
**Polymorph energy (0 for the lowest one)**: 0 meV per atom

Cell: 4.066 4.066 6.460 Å, 90.00 90.00 90.00°
Atoms (fractional coordinates):
Ce 0.000 0.000 0.223
Ce 0.000 0.000 0.777
Zn 0.500 0.500 0.000
Bi 0.500 0.500 0.500

# 4
First-principles (PBE) data for an optimized crystal structure of Ca3Zn2Hg7, as listed in Alexandria.

## Properties
**Crystal system**: monoclinic
**Formation energy**: -3.61 eV per formula unit

Cell: 4.778 4.408 14.582 Å, 90.00 98.48 90.00°
Atoms (fractional coordinates):
Ca 0.000 0.000 0.000
Ca 0.323 0.500 0.644
Ca 0.677 0.500 0.356
Zn 0.122 0.000 0.268
Zn 0.878 0.000 0.732
Hg 0.075 0.500 0.161
Hg 0.226 0.000 0.447
Hg 0.423 0.000 0.833
Hg 0.500 0.500 0.000
Hg 0.577 0.000 0.167
Hg 0.774 0.000 0.553
Hg 0.925 0.500 0.839

# 5
First-principles (PBE) data for an optimized crystal structure of La2YPd, as listed in Alexandria.

## Properties
**Crystal system**: cubic
**Formation energy**: -0.24 eV per formula unit
**Polymorph energy (0 for the lowest one)**: 362 meV per atom

Cell: 7.720 7.720 7.720 Å, 90.00 90.00 90.00°
Atoms (fractional coordinates):
La 0.250 0.250 0.250
La 0.250 0.250 0.750
La 0.250 0.750 0.250
La 0.250 0.750 0.750
La 0.750 0.250 0.250
La 0.750 0.250 0.750
La 0.750 0.750 0.250
La 0.750 0.750 0.750
Y 0.000 0.000 0.000
Y 0.000 0.500 0.500
Y 0.500 0.000 0.500
Y 0.500 0.500 0.000
Pd 0.000 0.000 0.500
Pd 0.000 0.500 0.000
Pd 0.500 0.000 0.000
Pd 0.500 0.500 0.500

# 6
First-principles (PBE) data for an optimized crystal structure of LaLuAlAg, as listed in Alexandria.

## Properties
**Crystal system**: cubic
**Formation energy**: -1.20 eV per formula unit

Cell: 7.423 7.423 7.423 Å, 90.00 90.00 90.00°
Atoms (fractional coordinates):
La 0.000 0.000 0.000
La 0.000 0.500 0.500
La 0.500 0.000 0.500
La 0.500 0.500 0.000
Lu 0.000 0.000 0.500
Lu 0.000 0.500 0.000
Lu 0.500 0.000 0.000
Lu 0.500 0.500 0.500
Al 0.250 0.250 0.250
Al 0.250 0.750 0.750
Al 0.750 0.250 0.750
Al 0.750 0.750 0.250
Ag 0.250 0.250 0.750
Ag 0.250 0.750 0.250
Ag 0.750 0.250 0.250
Ag 0.750 0.750 0.750

# 7
First-principles (PBE) data for an optimized crystal structure of ZrVIn2, as listed in Alexandria.

## Properties
**Crystal system**: cubic
**Formation energy**: 0.37 eV per formula unit
**Polymorph energy (0 for the lowest one)**: 108 meV per atom

Cell: 6.894 6.894 6.894 Å, 90.00 90.00 90.00°
Atoms (fractional coordinates):
Zr 0.000 0.000 0.000
Zr 0.000 0.500 0.500
Zr 0.500 0.000 0.500
Zr 0.500 0.500 0.000
V 0.000 0.000 0.500
V 0.000 0.500 0.000
V 0.500 0.000 0.000
V 0.500 0.500 0.500
In 0.250 0.250 0.250
In 0.250 0.250 0.750
In 0.250 0.750 0.250
In 0.250 0.750 0.750
In 0.750 0.250 0.250
In 0.750 0.250 0.750
In 0.750 0.750 0.250
In 0.750 0.750 0.750

# 8
First-principles (PBE) data for an optimized crystal structure of GaPO, as listed in Alexandria.

## Properties
**Crystal system**: triclinic
**Polymorph energy (0 for the lowest one)**: 188 meV per atom

Cell: 4.071 4.680 5.425 Å, 95.98 94.15 95.17°
Atoms (fractional coordinates):
Ga 0.000 0.000 0.000
Ga 0.191 0.710 0.635
P 0.539 0.305 0.009
P 0.775 0.679 0.286
O 0.473 0.429 0.747
O 0.499 0.855 0.410